[1]
The following is a DFT calculation (PBE) of a relaxed structure of Th2Bi3H.

Computed properties:
The calculation puts the uncorrected energy at -62.8 eV/cell. As for the space group: C2/m.

Structure (POSCAR):
```
Th2Bi3H
1.0
4.434 0.000 0.000
2.217 8.652 -0.942
2.217 1.406 9.302
Bi Th H
6 4 2
direct
0.973 0.876 0.177
0.722 0.889 0.666
0.357 0.350 0.937
0.027 0.124 0.823
0.278 0.111 0.334
0.643 0.650 0.063
0.125 0.469 0.282
0.407 0.745 0.442
0.593 0.255 0.558
0.875 0.531 0.718
0.426 0.532 0.617
0.574 0.468 0.383
```



[2]
The following is a DFT calculation (PBE) of a relaxed structure of Pm5Dy4Er3.

Computed properties:
The value obtained for the calculated formation energy is 238 meV per atom. As for the space group: C2/m.

Structure (POSCAR):
```
Pm5Dy4Er3
1.0
-0.607 5.640 -1.766
-1.460 0.339 -8.408
-7.940 3.585 4.186
Dy Pm Er
4 5 3
direct
0.835 0.952 0.378
0.137 0.782 0.945
0.863 0.218 0.055
0.165 0.048 0.622
0.500 0.500 0.500
0.521 0.686 0.271
0.479 0.314 0.729
0.783 0.547 0.887
0.217 0.453 0.113
0.626 0.947 0.800
0.000 0.500 0.500
0.374 0.053 0.200
```



[3]
The following is a DFT calculation (PBE) of a relaxed structure of Be2SbPdCl.

Computed properties:
The formation energy (no corrections) comes out at 0.613 eV per atom. As for the space group: P4/mmm.

Structure (POSCAR):
```
Be2SbPdCl
1.0
-3.091 -3.153 -0.398
1.396 -1.917 4.341
-2.922 2.600 2.088
Cl Be Sb Pd
1 2 1 1
direct
0.000 0.500 0.000
0.000 0.000 0.500
0.500 0.000 0.000
0.500 0.500 0.500
0.000 0.000 0.000
```



[4]
The following is a DFT calculation (PBE) of a relaxed structure of Sr2InCu6Ni.

Computed properties:
The value obtained for the calculated formation energy is 196 meV per atom. As for the space group: Fm-3m.

Structure (POSCAR):
```
Sr2InCu6Ni
1.0
-2.080 4.422 4.643
-6.380 -0.945 -1.958
-4.679 -1.796 4.508
Cu Sr In Ni
6 2 1 1
direct
0.735 0.735 0.000
0.735 0.265 0.000
0.265 0.265 0.470
0.735 0.735 0.530
0.265 0.265 0.000
0.265 0.735 0.000
0.750 0.250 0.500
0.250 0.750 0.500
0.000 0.000 0.000
0.500 0.500 0.000
```



[5]
The following is a DFT calculation (PBE) of a relaxed structure of SmGeBr5.

Computed properties:
The formation energy (no corrections) comes out at -1.238 eV per atom. As for the space group: C2/c.

Structure (POSCAR):
```
SmGeBr5
1.0
7.160 0.000 1.649
3.580 7.382 0.824
-0.261 0.000 9.603
Br Sm Ge
10 2 2
direct
0.911 0.178 0.750
0.448 0.814 0.479
0.944 0.705 0.640
0.649 0.295 0.140
0.262 0.186 0.979
0.738 0.814 0.021
0.089 0.822 0.250
0.552 0.186 0.521
0.056 0.295 0.360
0.351 0.705 0.860
0.536 0.928 0.750
0.464 0.072 0.250
0.000 0.000 0.500
0.000 0.000 0.000
```



[6]
The following is a DFT calculation (PBE) of a relaxed structure of Li2TlHIr.

Computed properties:
The calculation puts the uncorrected energy at -19.3 eV/cell. As for the space group: P4/mmm.

Structure (POSCAR):
```
Li2TlHIr
1.0
4.212 0.000 0.000
0.000 4.212 0.000
0.000 0.000 3.633
Tl Li Ir H
1 2 1 1
direct
0.500 0.500 0.500
0.500 0.000 0.000
0.000 0.500 0.000
0.000 0.000 0.500
0.000 0.000 0.000
```



[7]
The following is a DFT calculation (PBE) of a relaxed structure of Ca3GePd3.

Computed properties:
The value obtained for the calculated formation energy is -708 meV per atom. As for the space group: Cmcm.

Structure (POSCAR):
```
Ca3GePd3
1.0
4.169 0.000 0.000
-2.085 5.371 0.000
0.000 0.000 14.128
Ge Ca Pd
2 6 6
direct
0.500 0.000 0.500
0.500 0.000 0.000
0.788 0.575 0.103
0.507 0.015 0.250
0.212 0.425 0.603
0.212 0.425 0.897
0.493 0.985 0.750
0.788 0.575 0.397
0.074 0.148 0.413
0.926 0.852 0.913
0.784 0.567 0.750
0.926 0.852 0.587
0.074 0.148 0.087
0.216 0.433 0.250
```



[8]
The following is a DFT calculation (PBE) of a relaxed structure of BiHSe.

Computed properties:
As for the space group: P1. The offset from the most stable computed form is 0.0422 eV/atom.

Structure (POSCAR):
```
BiHSe
1.0
3.998 -0.011 -0.009
1.983 4.751 1.764
1.991 2.090 8.904
Bi H Se
2 2 2
direct
0.550 0.542 0.150
0.518 0.107 0.650
0.671 0.925 0.523
0.398 0.978 0.023
0.144 0.634 0.867
0.925 0.580 0.368
```